1.
## LiSiN (PBE-GGA)

Data for a geometry-optimized LiSiN structure.

Geometry as POSCAR:
```
LiSiN
1.0
2.838 0.000 0.000
-1.419 2.458 0.000
0.000 0.000 4.669
Li Si N
1 1 1
Direct
0.000 0.000 0.000
0.333 0.667 0.500
0.667 0.333 0.685
```

Calculated values
excess energy over the best structure of this formula in the dataset	0.0010	eV/atom
energy relative to the elements, uncorrected	-0.611	eV per atom
crystal system	trigonal
total magnetization	0.000	μB per formula unit

2.
## LaZr3W (PBE-GGA)

Data for a geometry-optimized LaZr3W structure.

Geometry as POSCAR:
```
LaZr3W
1.0
5.204 0.000 0.000
0.000 5.204 0.000
0.000 0.000 5.204
La Zr W
1 3 1
Direct
0.000 0.000 0.000
0.000 0.500 0.500
0.500 0.000 0.500
0.500 0.500 0.000
0.500 0.500 0.500
```

Calculated values
excess energy over the best structure of this formula in the dataset	0.0000	eV/atom
crystal system	cubic
total magnetization	0.000	μB per formula unit

Q: What is the excess energy over the best structure of this formula in the dataset in the first record?
A: 0.0010 eV/atom